A plane-wave DFT calculation with PBE+U was carried out for crystalline SrW2O7 at its relaxed geometry.

Cell: 3.868 6.020 6.020 Å, 116.67 90.00 90.00°
Fractional positions:
O 0.500 0.500 0.500
O 0.000 0.697 0.303
O 0.500 0.041 0.329
O 0.500 0.959 0.671
O 0.000 0.303 0.697
O 0.500 0.329 0.041
O 0.500 0.671 0.959
W 0.500 0.692 0.308
W 0.500 0.308 0.692
Sr 0.000 0.000 0.000

Values from the calculation:
Raw total energy: -7.308 eV/atom
Total magnetization: 0.00 μB/atom
Theoretical density: 7.52 g cm⁻³
V: 12.53 A^3/atom